Entry from Alexandria via LeMat-Bulk: a relaxed structure of CuSbTe2Ru (PBE-GGA).

```
5
Lattice="5.284 0.000 0.000 0.000 5.284 0.000 0.000 0.000 4.993" Properties=species:S:1:pos:R:3 pbc="T T T"
Cu 0.000 0.000 0.000
Sb 2.642 2.642 0.000
Te 0.000 2.642 2.496
Te 2.642 0.000 2.496
Ru 2.642 2.642 2.496
```

Calculated values
- Mass density: 6.45 g cm⁻³
- Energy relative to the lowest polymorph listed for this composition: 0.00 kJ/mol of atoms
- Raw total energy: -20.12 eV for the cell shown
- Space-group type: P4/mmm (123)